[1]
VASP calculation (PBE) on an optimized crystal structure of Tb11In9Ir4.

Structure (POSCAR):
```
Tb11In9Ir4
1.0
3.7363 0.0000 0.0000
0.0000 12.1024 -5.0884
0.0000 0.0770 13.1283
Tb In Ir
11 9 4
Cartesian
0.0000 7.1313 9.1249
0.0000 5.0481 -1.0850
0.0000 11.1932 2.9716
0.0000 0.9861 5.0683
0.0000 7.6024 1.7284
0.0000 4.5769 6.3116
0.0000 10.1483 -2.1283
0.0000 2.0310 10.1683
0.0000 0.0000 0.0000
0.0000 8.3802 5.5320
0.0000 3.7991 2.5079
1.8681 7.6628 -1.1527
1.8681 4.5166 9.1927
1.8681 1.9514 7.4993
1.8681 10.2280 0.5406
1.8681 9.5483 8.1749
1.8681 2.6311 -0.1350
1.8681 11.2695 5.5675
1.8681 0.9098 2.4725
1.8681 6.0897 4.0200
1.8681 6.7268 7.0825
1.8681 5.4526 0.9574
1.8681 9.1562 3.4023
1.8681 3.0232 4.6376
```

## Properties
Its space-group type is Cmmm, No. 65. For the total moment, the calculation gives 0.00 μB/f.u. For the calculated density, the calculation gives 9.91 g cm⁻³.

[2]
VASP calculation (PBE) on an optimized crystal structure of TbInIr.

Structure (POSCAR):
```
TbInIr
1.0
7.5301 0.0000 0.0000
-3.7650 6.5212 0.0000
0.0000 0.0000 3.9730
Tb In Ir
3 3 3
Cartesian
1.5282 2.6469 0.0000
4.4737 0.0000 0.0000
-2.2369 3.8744 0.0000
-0.9658 1.6728 1.9865
2.7993 4.8485 1.9865
1.9315 0.0000 1.9865
0.0000 0.0000 0.0000
0.0000 4.3475 1.9865
3.7650 2.1737 1.9865
```

## Properties
Its space-group type is P-62m, No. 189. For the total moment, the calculation gives 0.00 μB/f.u. For the calculated density, the calculation gives 11.90 g cm⁻³.

[3]
VASP calculation (PBE) on an optimized crystal structure of Tb3InIr2.

Structure (POSCAR):
```
Tb3InIr2
1.0
3.3929 0.0000 0.0000
0.0000 3.3929 0.0000
0.0000 0.0000 11.9841
Tb In Ir
3 1 2
Cartesian
0.0000 0.0000 0.0000
0.0000 0.0000 8.4896
0.0000 0.0000 3.4945
1.6964 1.6964 5.9920
1.6964 1.6964 10.1783
1.6964 1.6964 1.8057
```

## Properties
Its energy above the lowest structure with this stoichiometry is 0 meV/atom. Its space-group type is P4/mmm, No. 123. For the total moment, the calculation gives 0.00 μB/f.u. For the calculated density, the calculation gives 11.75 g cm⁻³.

[4]
VASP calculation (PBE) on an optimized crystal structure of Tb2InIr.

Structure (POSCAR):
```
Tb2InIr
1.0
-1.0384 -1.7512 2.8999
0.2280 -3.0624 -1.7677
7.2130 -0.7074 2.1557
Ir Tb In
1 2 1
Cartesian
-0.4052 -2.4068 0.5661
5.6561 -0.5547 1.6904
1.5570 -0.1527 0.4653
3.2013 -2.7605 1.6440
```

## Properties
Its energy above the lowest structure with this stoichiometry is 0 meV/atom. Its space-group type is P4/mmm, No. 123. For the total moment, the calculation gives 0.00 μB/f.u. For the calculated density, the calculation gives 10.93 g cm⁻³.

[5]
VASP calculation (PBE) on an optimized crystal structure of Tb5InIr2.

Structure (POSCAR):
```
Tb5InIr2
1.0
7.0769 0.0000 -3.3407
-1.5770 6.8989 -3.3407
-0.1859 -0.2331 8.7725
Tb In Ir
10 2 4
Cartesian
2.4860 4.7079 2.3246
4.0284 6.6427 -3.5741
0.0000 0.0000 0.0000
2.7500 3.4495 -3.3407
1.2856 0.0231 5.6652
4.5417 1.2584 3.3967
-0.7701 3.4726 4.5931
0.7724 5.4074 -1.3056
6.0841 3.1932 -2.5019
2.8281 1.9579 -0.2334
4.0320 5.0576 -0.6248
1.2821 1.6082 2.7159
0.4172 2.4883 -1.6703
4.3047 0.9612 -2.6012
1.1952 5.9377 -4.0801
5.0827 4.4107 -5.0110
```

## Properties
Its space-group type is I4/mcm, No. 140. For the total moment, the calculation gives 0.00 μB/f.u. For the calculated density, the calculation gives 10.30 g cm⁻³.

[6]
VASP calculation (PBE) on an optimized crystal structure of Tb8In2Ir.

Structure (POSCAR):
```
Tb8In2Ir
1.0
5.1317 0.0000 0.0000
0.0000 6.7162 0.0395
-2.5658 -2.7981 9.1036
Tb In Ir
8 2 1
Cartesian
0.0000 1.4503 7.4962
2.5658 5.7525 2.6928
2.5658 3.0256 5.2609
2.5658 -1.2516 8.7752
0.0000 0.8926 3.8821
0.0000 -1.8343 6.4503
2.5658 2.4679 1.6468
0.0000 5.1697 0.3679
2.5658 -0.0551 5.8176
0.0000 3.9732 3.3255
2.5658 0.0000 0.0000
```

## Properties
Its space-group type is C2/m, No. 12. For the total moment, the calculation gives 0.00 μB/f.u. For the calculated density, the calculation gives 8.95 g cm⁻³.

[7]
VASP calculation (PBE) on an optimized crystal structure of Tb4In5Ir2.

Structure (POSCAR):
```
Tb4In5Ir2
1.0
-2.9940 1.5876 -1.4290
2.7631 -1.1772 -7.0973
-4.6555 -8.4733 0.3402
Tb In Ir
4 5 2
Cartesian
-1.9228 -4.8422 -6.0842
-4.9750 -6.6146 -1.6582
-2.9636 -3.2207 -2.1019
0.0886 -1.4483 -6.5278
0.0005 -3.3967 -3.7749
-0.2154 -1.4806 -1.1937
1.3816 -0.5886 -3.5486
-1.6770 -8.1700 -5.5633
-1.8929 -6.2538 -2.9822
-2.7776 -5.5189 -0.3120
0.8852 -4.1316 -6.4451
```

## Properties
Its space-group type is P2/m, No. 10. For the total moment, the calculation gives 0.00 μB/f.u. For the calculated density, the calculation gives 9.68 g cm⁻³.

[8]
VASP calculation (PBE) on an optimized crystal structure of Tb4In2Ir.

Structure (POSCAR):
```
Tb4In2Ir
1.0
3.7501 0.0000 0.0000
0.0000 9.0172 -1.6088
0.0000 -5.6402 7.1597
Tb In Ir
4 2 1
Cartesian
1.8751 3.8920 3.9468
0.0000 2.9333 0.6970
1.8751 -0.0333 2.3977
0.0000 0.9254 5.6472
1.8751 -1.7866 5.2583
1.8751 5.6453 1.0858
0.0000 0.2408 0.3968
```

## Properties
Its space-group type is P2/m, No. 10. For the total moment, the calculation gives 0.00 μB/f.u. For the calculated density, the calculation gives 8.44 g cm⁻³.

[9]
VASP calculation (PBE) on an optimized crystal structure of TbIn2Ir.

Structure (POSCAR):
```
TbIn2Ir
1.0
4.8874 0.0000 0.0000
2.4437 4.2326 0.0000
2.4437 1.4109 3.9908
Ir Tb In
1 1 2
Cartesian
4.8874 2.8218 1.9954
0.0000 0.0000 0.0000
7.3311 4.2326 2.9928
2.4437 1.4109 0.9980
```

## Properties
Its space-group type is Fm-3m, No. 225. For the total moment, the calculation gives 0.00 μB/f.u. For the calculated density, the calculation gives 11.68 g cm⁻³.

[10]
VASP calculation (PBE) on an optimized crystal structure of Tb6In2Ir.

Structure (POSCAR):
```
Tb6In2Ir
1.0
3.8553 0.0000 0.0000
0.0000 7.9124 -3.6434
0.0000 -0.8225 8.6272
Tb In Ir
6 2 1
Cartesian
1.9277 4.7845 -2.2031
1.9277 2.7594 1.9472
1.9277 7.4043 1.6211
0.0000 1.9469 -0.8965
0.0000 5.3734 3.8020
0.0000 7.6944 -1.5709
0.0000 2.0767 4.5259
0.0000 5.0011 0.4634
1.9277 0.0542 -0.0250
```

## Properties
Its energy above the lowest structure with this stoichiometry is 0 meV/atom. Its space-group type is Amm2, No. 38. For the total moment, the calculation gives 0.00 μB/f.u. For the calculated density, the calculation gives 9.08 g cm⁻³.

[11]
VASP calculation (PBE) on an optimized crystal structure of Tb6In3Ir.

Structure (POSCAR):
```
Tb6In3Ir
1.0
5.2699 0.0000 0.0000
0.0000 8.8245 -2.8537
0.0000 0.0788 11.4252
Tb In Ir
12 6 2
Cartesian
1.3175 4.0320 -0.3469
3.9524 4.8714 8.9184
1.3175 1.1432 1.4228
3.9524 7.7601 7.1487
1.3175 6.1276 5.6572
3.9524 2.7758 2.9143
1.3175 1.9634 5.0651
3.9524 6.9400 3.5064
1.3175 7.5436 1.3205
3.9524 1.3598 7.2510
1.3175 0.9503 9.4916
3.9524 7.9530 -0.9201
1.3175 4.5544 2.8643
3.9524 4.3489 5.7072
1.3175 3.6133 7.7858
3.9524 5.2900 0.7857
1.3175 6.9268 8.9326
3.9524 1.9766 -0.3611
1.3175 8.5019 4.0655
3.9524 0.4015 4.5060
```

## Properties
Its space-group type is P2_1/m, No. 11. For the total moment, the calculation gives 0.00 μB/f.u. For the calculated density, the calculation gives 9.29 g cm⁻³.

[12]
VASP calculation (PBE) on an optimized crystal structure of Tb3InIr8.

Structure (POSCAR):
```
Tb3InIr8
1.0
5.1185 0.0000 1.5452
2.3260 4.5595 1.5452
-0.0074 -0.0045 9.2750
Tb In Ir
3 1 8
Cartesian
2.7895 1.7084 9.2605
7.4179 4.5432 3.1786
3.7409 2.2912 6.1086
6.5002 3.9811 6.2187
5.8184 1.9935 3.8595
4.4166 4.2710 8.4998
3.2550 1.9935 3.0857
6.9735 4.2710 9.2717
1.3952 0.8545 4.6288
5.1143 3.1323 10.8098
4.4199 4.2769 3.8595
5.8116 1.9934 8.4998
```

## Properties
Its space-group type is R3m, No. 160. For the total moment, the calculation gives 0.00 μB/f.u. For the calculated density, the calculation gives 16.33 g cm⁻³.

[13]
VASP calculation (PBE) on an optimized crystal structure of TbInIr.

Structure (POSCAR):
```
TbInIr
1.0
4.6900 0.0000 0.0000
2.3450 4.0617 0.0000
2.3450 1.3539 3.8294
Ir Tb In
1 1 1
Cartesian
2.3450 1.3539 0.9573
0.0000 0.0000 0.0000
4.6900 2.7078 1.9147
```

## Properties
Its space-group type is F-43m, No. 216. For the total moment, the calculation gives 0.00 μB/f.u. For the calculated density, the calculation gives 10.61 g cm⁻³.

[14]
VASP calculation (PBE) on an optimized crystal structure of Tb6In2Ir.

Structure (POSCAR):
```
Tb6In2Ir
1.0
5.1052 0.0000 -0.1964
0.0000 7.2815 0.0000
-2.2663 -3.6408 7.5767
Tb In Ir
6 2 1
Cartesian
0.0880 1.7381 2.3103
2.7508 -1.9026 5.0700
2.7508 1.9026 5.0700
2.5526 1.6366 -0.0982
0.0880 5.5434 2.3103
2.5526 5.6450 -0.0982
2.6475 3.6408 2.3982
0.1914 0.0000 4.9822
0.0000 0.0000 0.0000
```

## Properties
Its energy above the lowest structure with this stoichiometry is 168 meV/atom. Its space-group type is Immm, No. 71. For the total moment, the calculation gives 0.00 μB/f.u. For the calculated density, the calculation gives 8.20 g cm⁻³.

[15]
VASP calculation (PBE) on an optimized crystal structure of Tb5In2Ir.

Structure (POSCAR):
```
Tb5In2Ir
1.0
5.5887 0.0000 0.0000
-2.7943 8.1643 0.0000
0.0000 0.0000 12.3026
Tb In Ir
10 4 2
Cartesian
2.7943 7.0212 11.0570
2.7943 7.0212 7.3969
0.0000 4.8036 5.3070
0.0000 4.8036 0.8443
2.7943 3.2377 3.0757
0.0000 4.9266 9.2270
2.7943 3.3606 6.9956
2.7943 3.3606 11.4584
0.0000 1.1431 1.2456
0.0000 1.1431 4.9057
2.7943 6.1191 4.5104
2.7943 6.1191 1.6409
0.0000 2.0452 7.7922
0.0000 2.0452 10.6617
2.7943 5.0673 9.2270
0.0000 3.0970 3.0757
```

## Properties
Its energy above the lowest structure with this stoichiometry is 384 meV/atom. Its space-group type is Cmcm, No. 63. For the total moment, the calculation gives 0.00 μB/f.u. For the calculated density, the calculation gives 7.20 g cm⁻³.

[16]
VASP calculation (PBE) on an optimized crystal structure of Tb4In3Ir.

Structure (POSCAR):
```
Tb4In3Ir
1.0
-2.0705 -0.6918 -2.8083
0.6268 -3.4789 0.3949
-12.6784 -1.1898 9.6407
Ir Tb In
1 4 3
Cartesian
-0.7219 -2.0854 -1.2067
-11.3876 -1.0686 8.6592
-1.2908 -0.1211 0.9815
-4.6674 -0.4380 3.5491
-8.0110 -0.7518 6.0916
-3.7506 -2.3696 1.0964
-7.0611 -2.6802 3.6137
-10.3715 -2.9909 6.1309
```

## Properties
Its space-group type is P4/mmm, No. 123. For the total moment, the calculation gives 0.00 μB/f.u. For the calculated density, the calculation gives 9.63 g cm⁻³.

[17]
VASP calculation (PBE) on an optimized crystal structure of Tb2InIr2.

Structure (POSCAR):
```
Tb2InIr2
1.0
5.5000 0.0000 0.0000
-2.7500 5.1141 -0.0242
0.0000 -2.3875 7.8503
Tb In Ir
4 2 4
Cartesian
1.8714 1.1328 1.1560
-0.8786 2.7876 2.7450
0.8786 1.5939 6.6702
3.6286 -0.0609 5.0811
4.6325 -0.5969 1.9626
0.8675 -1.7906 5.8877
1.9080 2.5013 3.8162
4.6580 1.4191 0.0848
0.8420 0.2253 4.0100
-1.9080 1.3076 7.7414
```

## Properties
Its space-group type is C2/c, No. 15. For the total moment, the calculation gives 0.00 μB/f.u. For the calculated density, the calculation gives 12.31 g cm⁻³.

[18]
VASP calculation (PBE) on an optimized crystal structure of Tb3InIr.

Structure (POSCAR):
```
Tb3InIr
1.0
-3.2555 -4.2922 -1.4549
5.5187 -1.3839 2.9485
-6.7565 1.2736 5.7562
Tb In Ir
6 2 2
Cartesian
2.0853 -3.1203 2.2552
-3.0906 -0.2243 5.1298
-3.3474 -3.7928 5.3319
-1.1459 -0.6096 1.9180
-6.5787 -1.2821 4.9947
-1.4028 -4.1781 2.1201
-3.9454 -2.2972 2.6159
-0.5480 -2.1052 4.6340
0.8469 -5.3197 0.7497
-5.3402 0.9173 6.5002
```

## Properties
Its space-group type is P-1, No. 2. For the total moment, the calculation gives 0.00 μB/f.u. For the calculated density, the calculation gives 9.88 g cm⁻³.

[19]
VASP calculation (PBE) on an optimized crystal structure of TbInIr4.

Structure (POSCAR):
```
TbInIr4
1.0
5.3243 0.0000 0.0000
2.6622 4.6110 0.0000
2.6622 1.5370 4.3473
Ir Tb In
4 1 1
Cartesian
5.3243 3.0740 0.5382
5.3243 1.5321 2.7188
6.6596 3.8449 2.7188
3.9890 3.8449 2.7188
2.6622 1.5370 1.0868
0.0000 0.0000 0.0000
```

## Properties
Its space-group type is F-43m, No. 216. For the total moment, the calculation gives 0.00 μB/f.u. For the calculated density, the calculation gives 16.22 g cm⁻³.

[20]
VASP calculation (PBE) on an optimized crystal structure of Tb8InIr2.

Structure (POSCAR):
```
Tb8InIr2
1.0
-4.1347 3.1887 -1.6255
-4.3054 -5.1378 4.3177
3.7915 5.4263 4.4449
Tb In Ir
8 1 2
Cartesian
-5.2926 1.8191 5.4994
-3.1961 4.5545 5.5323
-1.5574 1.1350 4.8815
-4.3590 -0.9161 3.5366
-0.2896 4.3932 3.6005
-3.0912 2.3422 2.2556
-1.4526 -1.0773 1.6049
0.6440 1.6581 1.6378
-2.0673 1.5943 -0.8127
1.2817 2.1518 4.4055
-1.7957 -1.8633 4.3571
```

## Properties
Its space-group type is C2/m, No. 12. For the total moment, the calculation gives 0.00 μB/f.u. For the calculated density, the calculation gives 9.46 g cm⁻³.

[21]
VASP calculation (PBE) on an optimized crystal structure of TbInIr.

Structure (POSCAR):
```
TbInIr
1.0
3.3079 0.0000 0.0000
0.0000 3.3079 0.0000
-1.6539 -1.6539 5.8862
Ir Tb In
1 1 1
Cartesian
1.6539 1.6539 5.2597
1.6539 1.6539 1.1337
0.0000 0.0000 3.6132
```

## Properties
Its space-group type is I4mm, No. 107. For the total moment, the calculation gives 0.00 μB/f.u. For the calculated density, the calculation gives 12.01 g cm⁻³.

[22]
VASP calculation (PBE) on an optimized crystal structure of Tb2InIr.

Structure (POSCAR):
```
Tb2InIr
1.0
-2.7246 -4.1377 -1.2020
1.7557 -4.6388 1.1781
-2.2556 -2.7222 3.6730
Ir Tb In
1 2 1
Cartesian
-1.6123 -5.7494 1.8246
-0.8061 -2.8747 0.9123
-2.4184 -8.6241 2.7368
0.0000 0.0000 0.0000
```

## Properties
Its energy above the lowest structure with this stoichiometry is 122 meV/atom. Its space-group type is Fm-3m, No. 225. For the total moment, the calculation gives 0.00 μB/f.u. For the calculated density, the calculation gives 11.08 g cm⁻³.

| no. | energy of formation from the pure elements (kJ/mol of atoms) | N(E_F) (states/eV per cell) | DFT total energy (eV for the cell shown) |
| --- | --- | --- | --- |
| 1 | -63 | 12.46 | -126.80 |
| 2 | -68 | 4.29 | -54.99 |
| 3 | -66 | 4.89 | -38.47 |
| 4 | -63 | 1.45 | -23.49 |
| 5 | -63 | 15.06 | -97.75 |
| 6 | -33 | 10.80 | -55.17 |
| 7 | -56 | 7.86 | -56.35 |
| 8 | -39 | 4.93 | -35.69 |
| 9 | -30 | 1.28 | -20.20 |
| 10 | -44 | 10.93 | -46.26 |
| 11 | -44 | 17.28 | -98.74 |
| 12 | -57 | 14.55 | -94.65 |
| 13 | -54 | 1.46 | -17.91 |
| 14 | -28 | 8.48 | -44.76 |
| 15 | -13 | 17.34 | -77.06 |
| 16 | -55 | 5.05 | -40.14 |
| 17 | -72 | 7.31 | -66.90 |
| 18 | -55 | 6.31 | -56.68 |
| 19 | -37 | 7.13 | -45.11 |
| 20 | -40 | 12.38 | -62.08 |
| 21 | -45 | 2.01 | -17.62 |
| 22 | -52 | 2.88 | -23.00 |